Entry 1:
The following is a PBE-GGA calculation of La2MnFe after structural relaxation, from Alexandria.

abc: 4.352 3.779 6.174
angles: 90.00 110.25 90.00
Space group Pm (No. 6)
Inequivalent atoms, fractional coordinates:
La 0.000 0.000 0.000 (multiplicity 1)
La 0.282 0.500 0.557 (multiplicity 1)
Mn 0.703 0.000 0.363 (multiplicity 1)
Fe 0.576 0.500 0.193 (multiplicity 1)

Properties
Formation energy in eV/atom: 0.20
VASP energy in eV/atom: -6.669
Volume in Å³ per cell: 95.24
DOS(E_F) in states/eV/cell: 4.732
Energy above the lowest structure with this stoichiometry in eV per atom: 0.070

Entry 2:
The following is a PBE-GGA calculation of LaMnFe2 after structural relaxation, from Alexandria.

abc: 4.0529 4.0529 15.4390
angles: 90.00 90.00 120.00
Space group R-3m (No. 166, hexagonal axes)
Inequivalent atoms, fractional coordinates:
La 0.0000 0.0000 0.0000 (multiplicity 3)
Mn 0.0000 0.0000 0.5000 (multiplicity 3)
Fe 0.0000 0.0000 0.1908 (multiplicity 6)

Properties
Formation energy in eV/atom: 0.17
VASP energy in eV/atom: -7.586
Volume in Å³ per cell: 219.62
DOS(E_F) in states/eV/cell: 16.797
Energy above the lowest structure with this stoichiometry in eV per atom: 0.000

Entry 3:
The following is a PBE-GGA calculation of LaMnFe2 after structural relaxation, from Alexandria.

abc: 3.406 3.898 11.487
angles: 90.00 90.00 90.00
Space group Imm2 (No. 44)
Inequivalent atoms, fractional coordinates:
La 0.000 0.000 0.000 (multiplicity 2)
Mn 0.000 0.500 0.237 (multiplicity 2)
Fe 0.000 0.000 0.372 (multiplicity 2)
Fe 0.000 0.500 0.746 (multiplicity 2)

Properties
Formation energy in eV/atom: 0.43
VASP energy in eV/atom: -7.323
Volume in Å³ per cell: 152.49
DOS(E_F) in states/eV/cell: 7.385
Energy above the lowest structure with this stoichiometry in eV per atom: 0.263

Entry 4:
The following is a PBE-GGA calculation of La2MnFe after structural relaxation, from Alexandria.

abc: 7.057 7.057 7.057
angles: 90.00 90.00 90.00
Space group F-43m (No. 216)
Inequivalent atoms, fractional coordinates:
La 0.000 0.000 0.000 (multiplicity 4)
La 0.250 0.250 0.250 (multiplicity 4)
Mn 0.000 0.000 0.500 (multiplicity 4)
Fe 0.250 0.250 0.750 (multiplicity 4)

Properties
Formation energy in eV/atom: 0.51
VASP energy in eV/atom: -6.360
Volume in Å³ per cell: 351.50
DOS(E_F) in states/eV/cell: 35.292
Energy above the lowest structure with this stoichiometry in eV per atom: 0.380

Entry 5:
The following is a PBE-GGA calculation of LaMnFe2 after structural relaxation, from Alexandria.

abc: 3.112 3.112 7.146
angles: 90.00 90.00 90.00
Space group P4mm (No. 99)
Inequivalent atoms, fractional coordinates:
La 0.000 0.000 0.000 (multiplicity 1)
Mn 0.500 0.500 0.333 (multiplicity 1)
Fe 0.000 0.000 0.531 (multiplicity 1)
Fe 0.500 0.500 0.694 (multiplicity 1)

Properties
Formation energy in eV/atom: 0.32
VASP energy in eV/atom: -7.433
Volume in Å³ per cell: 69.21
DOS(E_F) in states/eV/cell: 4.469
Energy above the lowest structure with this stoichiometry in eV per atom: 0.153

Entry 6:
The following is a PBE-GGA calculation of La2MnFe after structural relaxation, from Alexandria.

abc: 3.261 3.261 8.751
angles: 90.00 90.00 90.00
Space group P4mm (No. 99)
Inequivalent atoms, fractional coordinates:
La 0.000 0.000 0.000 (multiplicity 1)
La 0.500 0.500 0.389 (multiplicity 1)
Mn 0.000 0.000 0.642 (multiplicity 1)
Fe 0.500 0.500 0.758 (multiplicity 1)

Properties
Formation energy in eV/atom: 0.32
VASP energy in eV/atom: -6.549
Volume in Å³ per cell: 93.07
DOS(E_F) in states/eV/cell: 6.995
Energy above the lowest structure with this stoichiometry in eV per atom: 0.191

Entry 7:
The following is a PBE-GGA calculation of LaMnFe2 after structural relaxation, from Alexandria.

abc: 5.466 8.644 3.001
angles: 90.00 113.78 90.00
Space group C2/m (No. 12)
Inequivalent atoms, fractional coordinates:
La 0.000 0.000 0.000 (multiplicity 2)
Mn 0.000 0.500 0.000 (multiplicity 2)
Fe 0.250 0.250 0.500 (multiplicity 4)

Properties
Formation energy in eV/atom: 0.56
VASP energy in eV/atom: -7.199
Volume in Å³ per cell: 129.78
DOS(E_F) in states/eV/cell: 9.621
Energy above the lowest structure with this stoichiometry in eV per atom: 0.387

Entry 8:
The following is a PBE-GGA calculation of LaMnFe after structural relaxation, from Alexandria.

abc: 6.221 6.221 6.221
angles: 90.00 90.00 90.00
Space group F-43m (No. 216)
Inequivalent atoms, fractional coordinates:
La 0.000 0.000 0.000 (multiplicity 4)
Mn 0.250 0.250 0.250 (multiplicity 4)
Fe 0.250 0.250 0.750 (multiplicity 4)

Properties
Formation energy in eV/atom: 1.21
VASP energy in eV/atom: -6.313
Volume in Å³ per cell: 240.76
DOS(E_F) in states/eV/cell: 18.118
Energy above the lowest structure with this stoichiometry in eV per atom: 0.988

Entry 9:
The following is a PBE-GGA calculation of LaMnFe2 after structural relaxation, from Alexandria.

abc: 3.322 4.484 4.550
angles: 90.00 90.00 90.00
Space group Pmmm (No. 47)
Inequivalent atoms, fractional coordinates:
La 0.000 0.000 0.000 (multiplicity 1)
Mn 0.500 0.000 0.500 (multiplicity 1)
Fe 0.000 0.500 0.500 (multiplicity 1)
Fe 0.500 0.500 0.000 (multiplicity 1)

Properties
Formation energy in eV/atom: 0.65
VASP energy in eV/atom: -7.103
Volume in Å³ per cell: 67.78
DOS(E_F) in states/eV/cell: 7.121
Energy above the lowest structure with this stoichiometry in eV per atom: 0.483

Entry 10:
The following is a PBE-GGA calculation of La2MnFe after structural relaxation, from Alexandria.

abc: 3.673 4.469 11.322
angles: 90.00 90.00 90.00
Space group Imm2 (No. 44)
Inequivalent atoms, fractional coordinates:
La 0.000 0.000 0.000 (multiplicity 2)
La 0.000 0.500 0.218 (multiplicity 2)
Mn 0.000 0.500 0.812 (multiplicity 2)
Fe 0.000 0.000 0.405 (multiplicity 2)

Properties
Formation energy in eV/atom: 0.25
VASP energy in eV/atom: -6.621
Volume in Å³ per cell: 185.84
DOS(E_F) in states/eV/cell: 10.350
Energy above the lowest structure with this stoichiometry in eV per atom: 0.119

Entry 11:
The following is a PBE-GGA calculation of LaMnFe2 after structural relaxation, from Alexandria.

abc: 4.627 4.627 14.790
angles: 90.00 90.00 90.00
Space group I4_1/amd (No. 141, origin choice 2)
Inequivalent atoms, fractional coordinates:
La 0.000 0.250 0.375 (multiplicity 4)
Mn 0.000 0.250 0.875 (multiplicity 4)
Fe 0.000 0.000 0.000 (multiplicity 8)

Properties
Formation energy in eV/atom: 0.55
VASP energy in eV/atom: -7.204
Volume in Å³ per cell: 316.65
DOS(E_F) in states/eV/cell: 16.189
Energy above the lowest structure with this stoichiometry in eV per atom: 0.382

Entry 12:
The following is a PBE-GGA calculation of LaMnFe after structural relaxation, from Alexandria.

abc: 3.848 15.295 4.045
angles: 90.00 90.00 90.00
Space group Cmcm (No. 63)
Inequivalent atoms, fractional coordinates:
La 0.000 0.092 0.250 (multiplicity 4)
Mn 0.000 0.329 0.250 (multiplicity 4)
Fe 0.000 0.251 0.750 (multiplicity 4)

Properties
Formation energy in eV/atom: 0.28
VASP energy in eV/atom: -7.240
Volume in Å³ per cell: 238.09
DOS(E_F) in states/eV/cell: 11.738
Energy above the lowest structure with this stoichiometry in eV per atom: 0.060

Entry 13:
The following is a PBE-GGA calculation of La2MnFe after structural relaxation, from Alexandria.

abc: 3.6142 3.6142 26.2367
angles: 90.00 90.00 120.00
Space group R-3m (No. 166, hexagonal axes)
Inequivalent atoms, fractional coordinates:
La 0.0000 0.0000 0.2415 (multiplicity 6)
Mn 0.0000 0.0000 0.0000 (multiplicity 3)
Fe 0.0000 0.0000 0.5000 (multiplicity 3)

Properties
Formation energy in eV/atom: 0.52
VASP energy in eV/atom: -6.349
Volume in Å³ per cell: 296.80
DOS(E_F) in states/eV/cell: 13.404
Energy above the lowest structure with this stoichiometry in eV per atom: 0.391

Entry 14:
The following is a PBE-GGA calculation of LaMnFe2 after structural relaxation, from Alexandria.

abc: 4.0031 4.0031 15.8017
angles: 90.00 90.00 120.00
Space group R3m (No. 160, hexagonal axes)
Inequivalent atoms, fractional coordinates:
La 0.0000 0.0000 0.0000 (multiplicity 3)
Mn 0.0000 0.0000 0.8133 (multiplicity 3)
Fe 0.0000 0.0000 0.1974 (multiplicity 3)
Fe 0.0000 0.0000 0.4898 (multiplicity 3)

Properties
Formation energy in eV/atom: 0.19
VASP energy in eV/atom: -7.567
Volume in Å³ per cell: 219.28
DOS(E_F) in states/eV/cell: 12.280
Energy above the lowest structure with this stoichiometry in eV per atom: 0.019

Entry 15:
The following is a PBE-GGA calculation of LaMnFe3 after structural relaxation, from Alexandria.

abc: 4.399 4.399 4.399
angles: 90.00 90.00 90.00
Space group Pm-3m (No. 221)
Inequivalent atoms, fractional coordinates:
La 0.000 0.000 0.000 (multiplicity 1)
Mn 0.500 0.500 0.500 (multiplicity 1)
Fe 0.000 0.500 0.500 (multiplicity 3)

Properties
Formation energy in eV/atom: 0.60
VASP energy in eV/atom: -7.298
Volume in Å³ per cell: 85.11
DOS(E_F) in states/eV/cell: 15.755
Energy above the lowest structure with this stoichiometry in eV per atom: 0.000

Entry 16:
The following is a PBE-GGA calculation of LaMnFe after structural relaxation, from Alexandria.

abc: 3.411 3.421 10.199
angles: 90.00 90.00 90.00
Space group Imm2 (No. 44)
Inequivalent atoms, fractional coordinates:
La 0.000 0.000 0.000 (multiplicity 2)
Mn 0.000 0.000 0.708 (multiplicity 2)
Fe 0.000 0.000 0.300 (multiplicity 2)

Properties
Formation energy in eV/atom: 0.37
VASP energy in eV/atom: -7.153
Volume in Å³ per cell: 118.99
DOS(E_F) in states/eV/cell: 7.520
Energy above the lowest structure with this stoichiometry in eV per atom: 0.148

Entry 17:
The following is a PBE-GGA calculation of LaMnFe2Mo after structural relaxation, from Alexandria.

abc: 4.427 4.427 4.679
angles: 90.00 90.00 90.00
Space group P4/mmm (No. 123)
Inequivalent atoms, fractional coordinates:
La 0.000 0.000 0.000 (multiplicity 1)
Mn 0.000 0.000 0.500 (multiplicity 1)
Fe 0.000 0.500 0.000 (multiplicity 2)
Mo 0.500 0.500 0.500 (multiplicity 1)

Properties
Formation energy in eV/atom: 1.99
VASP energy in eV/atom: -6.385
Volume in Å³ per cell: 91.70
DOS(E_F) in states/eV/cell: 8.375

Entry 18:
The following is a PBE-GGA calculation of LaMnFeP2 after structural relaxation, from Alexandria.

abc: 3.885 3.885 10.586
angles: 90.00 90.00 90.00
Space group I-4m2 (No. 119)
Inequivalent atoms, fractional coordinates:
La 0.000 0.000 0.000 (multiplicity 2)
Mn 0.000 0.500 0.750 (multiplicity 2)
Fe 0.000 0.500 0.250 (multiplicity 2)
P 0.000 0.000 0.350 (multiplicity 4)

Properties
Formation energy in eV/atom: -0.96
VASP energy in eV/atom: -7.631
Volume in Å³ per cell: 159.78
DOS(E_F) in states/eV/cell: 7.881

Entry 19:
The following is a PBE-GGA calculation of LaMnFe2Pd after structural relaxation, from Alexandria.

abc: 4.720 4.720 4.613
angles: 90.00 90.00 90.00
Space group P4/mmm (No. 123)
Inequivalent atoms, fractional coordinates:
La 0.000 0.000 0.000 (multiplicity 1)
Mn 0.500 0.500 0.000 (multiplicity 1)
Fe 0.000 0.500 0.500 (multiplicity 2)
Pd 0.500 0.500 0.500 (multiplicity 1)

Properties
Formation energy in eV/atom: 0.89
VASP energy in eV/atom: -6.354
Volume in Å³ per cell: 102.79
DOS(E_F) in states/eV/cell: 12.070

Entry 20:
The following is a PBE-GGA calculation of LaMnFe2Ru after structural relaxation, from Alexandria.

abc: 4.599 4.599 4.801
angles: 90.00 90.00 90.00
Space group P4/mmm (No. 123)
Inequivalent atoms, fractional coordinates:
La 0.000 0.000 0.000 (multiplicity 1)
Mn 0.500 0.500 0.500 (multiplicity 1)
Fe 0.000 0.500 0.000 (multiplicity 2)
Ru 0.000 0.000 0.500 (multiplicity 1)

Properties
Formation energy in eV/atom: 1.75
VASP energy in eV/atom: -6.307
Volume in Å³ per cell: 101.55
DOS(E_F) in states/eV/cell: 8.684